1.
Entry from the Alexandria database: a relaxed structure of KRu2I (GGA-PBE).

Unit cell a=6.4336 b=6.4336 c=6.4336 alpha=104.48 beta=104.48 gamma=120.00
Fractional coordinates of all 8 atoms:
K: 0.0000 0.0000 0.0000
K: 0.7500 0.2500 0.5000
Ru: 0.2112 0.1250 0.5862
Ru: 0.3750 0.7888 0.9138
Ru: 0.5388 0.6250 0.4138
Ru: 0.8750 0.4612 0.0862
I: 0.2500 0.7500 0.5000
I: 0.5000 0.5000 0.0000

Values from the calculation:
Space group   I-42d, No. 122
Excess energy over the best structure of this formula in the dataset   0.000 eV/atom
Raw formation energy   490 kJ/mol of formula units
Total magnetization   0.000 μB/atom

***

2.
Entry from the Alexandria database: a relaxed structure of KRuI3 (GGA-PBE).

Unit cell a=5.5781 b=5.5781 c=5.5781 alpha=90.00 beta=90.00 gamma=90.00
Fractional coordinates of all 5 atoms:
K: 0.0000 0.0000 0.0000
Ru: 0.5000 0.5000 0.5000
I: 0.0000 0.5000 0.5000
I: 0.5000 0.0000 0.5000
I: 0.5000 0.5000 0.0000

Values from the calculation:
Space group   Pm-3m, No. 221
Excess energy over the best structure of this formula in the dataset   0.000 eV/atom
Raw formation energy   -142 kJ/mol of formula units
Total magnetization   0.316 μB/atom

***

3.
Entry from the Alexandria database: a relaxed structure of KRuI6 (GGA-PBE).

Unit cell a=6.5445 b=6.5445 c=7.6061 alpha=99.09 beta=99.09 gamma=97.37
Fractional coordinates of all 8 atoms:
K: 0.0000 0.0000 0.0000
Ru: 0.5000 0.5000 0.5000
I: 0.1654 0.5379 0.2536
I: 0.2480 0.2480 0.6434
I: 0.4621 0.8346 0.7464
I: 0.5379 0.1654 0.2536
I: 0.7520 0.7520 0.3566
I: 0.8346 0.4621 0.7464

Values from the calculation:
Space group   C2/m, No. 12
Raw formation energy   -233 kJ/mol of formula units
Total magnetization   0.000 μB/atom